# Na3ZnF6

Na3ZnF6 after structural relaxation (GGA-PBE, Alexandria).

Cell and atoms, written as POSCAR:
```
Na3ZnF6
1.0
5.566 0.000 0.000
0.000 5.837 0.000
-5.489 0.000 8.034
Na Zn F
6 2 12
Direct
0.000 0.000 0.000 Na
0.000 0.500 0.500 Na
0.223 0.061 0.743 Na
0.223 0.439 0.243 Na
0.777 0.561 0.757 Na
0.777 0.939 0.257 Na
0.500 0.000 0.500 Zn
0.500 0.500 0.000 Zn
0.160 0.181 0.447 F
0.160 0.319 0.947 F
0.249 0.721 0.422 F
0.249 0.779 0.922 F
0.396 0.063 0.272 F
0.396 0.437 0.772 F
0.604 0.563 0.228 F
0.604 0.937 0.728 F
0.751 0.221 0.078 F
0.751 0.279 0.578 F
0.840 0.681 0.053 F
0.840 0.819 0.553 F
```

- space-group type = No. 14
- crystal system = monoclinic
- calculated volume (Å³/cell) = 261
- E_tot (eV/atom) = -4.01



# PmDyPd4

PmDyPd4 after structural relaxation (GGA-PBE, Alexandria).

Cell and atoms, written as POSCAR:
```
PmDyPd4
1.0
2.117 -9.716 0.000
2.117 9.716 0.000
0.000 0.000 5.873
Pm Dy Pd
2 2 8
Direct
0.079 0.921 0.750 Pm
0.921 0.079 0.250 Pm
0.225 0.775 0.250 Dy
0.775 0.225 0.750 Dy
0.075 0.925 0.250 Pd
0.351 0.649 0.515 Pd
0.351 0.649 0.985 Pd
0.500 0.500 0.000 Pd
0.500 0.500 0.500 Pd
0.649 0.351 0.015 Pd
0.649 0.351 0.485 Pd
0.925 0.075 0.750 Pd
```

- calculated formation energy (eV per formula unit) = -5.107
- space-group type = No. 63
- crystal system = orthorhombic
- calculated volume (Å³/cell) = 242
- E_tot (eV/atom) = -5.87



# ZrNb2Re

ZrNb2Re after structural relaxation (GGA-PBE, Alexandria).

Cell and atoms, written as POSCAR:
```
ZrNb2Re
1.0
3.240 0.000 0.000
0.000 3.240 0.000
0.000 0.000 6.973
Zr Nb Re
1 2 1
Direct
0.000 0.000 0.000 Zr
0.500 0.500 0.275 Nb
0.500 0.500 0.725 Nb
0.000 0.000 0.500 Re
```

- calculated formation energy (eV per formula unit) = -0.446
- space-group type = No. 123
- crystal system = tetragonal
- calculated volume (Å³/cell) = 73
- E_tot (eV/atom) = -10.40



# CaNd2ReO8

CaNd2ReO8 after structural relaxation (GGA-PBE, Alexandria).

Cell and atoms, written as POSCAR:
```
CaNd2ReO8
1.0
4.778 0.000 0.000
0.465 5.154 0.000
1.527 -0.012 6.902
Ca Nd Re O
1 2 1 8
Direct
0.000 0.000 0.000 Ca
0.381 0.491 0.276 Nd
0.619 0.509 0.724 Nd
0.000 0.000 0.500 Re
0.130 0.283 0.612 O
0.227 0.578 0.986 O
0.250 0.057 0.248 O
0.292 0.774 0.565 O
0.708 0.226 0.435 O
0.750 0.943 0.752 O
0.773 0.422 0.014 O
0.870 0.717 0.388 O
```

- space-group type = No. 2
- crystal system = triclinic
- calculated volume (Å³/cell) = 170
- E_tot (eV/atom) = -7.70



# Sc2CdCo2

Sc2CdCo2 after structural relaxation (GGA-PBE, Alexandria).

Cell and atoms, written as POSCAR:
```
Sc2CdCo2
1.0
-1.646 1.646 8.530
1.646 -1.646 8.530
1.646 1.646 -8.530
Sc Cd Co
2 1 2
Direct
0.124 0.124 0.000 Sc
0.876 0.876 0.000 Sc
0.500 0.500 0.000 Cd
0.250 0.750 0.500 Co
0.750 0.250 0.500 Co
```

- calculated formation energy (eV per formula unit) = -0.221
- space-group type = No. 139
- crystal system = tetragonal
- calculated volume (Å³/cell) = 92
- E_tot (eV/atom) = -5.60



# La2GaCoBi

La2GaCoBi after structural relaxation (GGA-PBE, Alexandria).

Cell and atoms, written as POSCAR:
```
La2GaCoBi
1.0
5.317 0.000 0.000
0.000 5.317 0.000
0.000 0.000 5.029
La Ga Co Bi
2 1 1 1
Direct
0.000 0.500 0.000 La
0.500 0.000 0.000 La
0.000 0.000 0.500 Ga
0.500 0.500 0.000 Co
0.500 0.500 0.500 Bi
```

- calculated formation energy (eV per formula unit) = -1.575
- space-group type = No. 123
- crystal system = tetragonal
- calculated volume (Å³/cell) = 142
- E_tot (eV/atom) = -5.09